1.
Computed, not measured: a crystal of CsHfPCl2 relaxed with PBEsol at the meta-GGA SCAN level of DFT.

a b c (Å): 5.711 5.711 5.447
angles (deg): 90.00 90.00 90.00
Space group P4/mmm (No. 123)
Inequivalent atoms, fractional coordinates:
1 Cs 0.000 0.000 0.000 [1 per cell]
2 Hf 0.500 0.500 0.500 [1 per cell]
3 P 0.000 0.000 0.500 [1 per cell]
4 Cl 0.000 0.500 0.000 [2 per cell]

Values from the calculation:
ΔE_f (raw) ... 0.971 eV/atom

=====

2.
Computed, not measured: a crystal of MoP4 relaxed with PBEsol at the meta-GGA SCAN level of DFT.

a b c (Å): 5.290 11.110 5.772
angles (deg): 90.00 110.50 90.00
Space group C2/c (No. 15)
Inequivalent atoms, fractional coordinates:
1 Mo 0.000 0.058 0.250 [4 per cell]
2 P 0.221 0.404 0.318 [8 per cell]
3 P 0.223 0.280 0.810 [8 per cell]

Values from the calculation:
Energy of formation from the pure elements ... -0.376 eV per atom

=====

3.
Computed, not measured: a crystal of Hf2Ga2Rh relaxed with PBEsol at the meta-GGA SCAN level of DFT.

a b c (Å): 6.502 6.502 3.956
angles (deg): 90.00 90.00 90.00
Space group P4/mbm (No. 127)
Inequivalent atoms, fractional coordinates:
1 Hf 0.172 0.328 0.000 [4 per cell]
2 Ga 0.134 0.634 0.500 [4 per cell]
3 Rh 0.000 0.000 0.500 [2 per cell]

Values from the calculation:
Energy of formation from the pure elements ... -0.787 eV per atom

=====

What did the first record say?
Computed, not measured: a crystal of CsHfPCl2 relaxed with PBEsol at the meta-GGA SCAN level of DFT.

a b c (Å): 5.711 5.711 5.447
angles (deg): 90.00 90.00 90.00
Space group P4/mmm (No. 123)
Inequivalent atoms, fractional coordinates:
1 Cs 0.000 0.000 0.000 [1 per cell]
2 Hf 0.500 0.500 0.500 [1 per cell]
3 P 0.000 0.000 0.500 [1 per cell]
4 Cl 0.000 0.500 0.000 [2 per cell]

Values from the calculation:
ΔE_f (raw) ... 0.971 eV/atom